meta-GGA SCAN V2OF5, PBEsol geometry; energy above the most stable polymorph in this dataset = 0.000 eV per atom; calculated volume = 12.78 A^3/atom; formation energy (no corrections) = -3102 meV/atom; electronic total energy = -10.47 eV per atom
1.0
5.1960 0.0000 0.0000
-2.5980 4.4998 0.0000
0.0000 0.0000 13.1168
V O F
6 3 15
Direct
0.0155 0.6931 0.4117
0.3069 0.3224 0.7451
0.3224 0.3069 0.2549
0.6776 0.9845 0.0784
0.6931 0.0155 0.5883
0.9845 0.6776 0.9216
0.0000 0.1193 0.6667
0.1193 0.0000 0.3333
0.8807 0.8807 0.0000
0.0000 0.2450 0.1667
0.0896 0.4249 0.8373
0.2450 0.0000 0.8333
0.2501 0.5739 0.3339
0.3238 0.7499 0.0006
0.3354 0.9104 0.5039
0.4249 0.0896 0.1627
0.4261 0.6762 0.6673
0.5739 0.2501 0.6661
0.5751 0.6646 0.1706
0.6646 0.5751 0.8294
0.6762 0.4261 0.3327
0.7499 0.3238 0.9994
0.7550 0.7550 0.5000
0.9104 0.3354 0.4961


meta-GGA SCAN KLaTe2, PBEsol geometry; calculated volume = 42.24 A^3/atom; formation energy (no corrections) = -1405 meV/atom; electronic total energy = -32.89 eV per atom
1.0
-4.2443 4.2443 4.6898
4.2443 -4.2443 4.6898
4.2443 4.2443 -4.6898
K La Te
2 2 4
Direct
0.0000 0.0000 0.0000
0.7500 0.2500 0.5000
0.2500 0.7500 0.5000
0.5000 0.5000 0.0000
0.1544 0.6250 0.0294
0.3750 0.4044 0.5294
0.5956 0.1250 0.9706
0.8750 0.8456 0.4706


meta-GGA SCAN YPbBr2, PBEsol geometry; energy above the most stable polymorph in this dataset = 0.000 eV per atom; calculated volume = 29.60 A^3/atom; formation energy (no corrections) = -1170 meV/atom; electronic total energy = -36.81 eV per atom
1.0
5.9942 -1.7874 0.0000
5.9942 1.7874 0.0000
-1.4081 0.0000 5.5262
Y Pb Br
1 1 2
Direct
0.0000 0.0000 0.0000
0.5000 0.5000 0.5000
0.3173 0.3173 0.7905
0.6827 0.6827 0.2095


meta-GGA SCAN La2CdRh2, PBEsol geometry; calculated volume = 22.27 A^3/atom; formation enthalpy at 0 K = -0.6949 eV per atom; electronic total energy = -37.53 eV per atom
1.0
7.5957 0.0000 0.0000
0.0000 7.5957 0.0000
0.0000 0.0000 3.8601
La Cd Rh
4 2 4
Direct
0.1670 0.3330 0.0000
0.3330 0.8330 0.0000
0.6670 0.1670 0.0000
0.8330 0.6670 0.0000
0.0000 0.0000 0.5000
0.5000 0.5000 0.5000
0.1370 0.6370 0.5000
0.3630 0.1370 0.5000
0.6370 0.8630 0.5000
0.8630 0.3630 0.5000


meta-GGA SCAN OsWSe2Br, PBEsol geometry; calculated volume = 22.46 A^3/atom; formation energy (no corrections) = 1601 meV/atom; electronic total energy = -38.64 eV per atom
1.0
4.7808 0.0000 0.0000
0.0000 4.7808 0.0000
0.0000 0.0000 4.9130
Os W Se Br
1 1 2 1
Direct
0.0000 0.0000 0.0000
0.5000 0.5000 0.5000
0.0000 0.5000 0.0000
0.5000 0.0000 0.0000
0.0000 0.0000 0.5000


meta-GGA SCAN Cr4CoRu, PBEsol geometry; calculated volume = 11.47 A^3/atom; formation enthalpy at 0 K = 0.1747 eV per atom; electronic total energy = -20.77 eV per atom
1.0
0.0000 3.2530 3.2530
3.2530 0.0000 3.2530
3.2530 3.2530 0.0000
Cr Co Ru
4 1 1
Direct
0.1242 0.1242 0.1242
0.1242 0.1242 0.6273
0.1242 0.6273 0.1242
0.6273 0.1242 0.1242
0.7500 0.7500 0.7500
0.5000 0.5000 0.5000


meta-GGA SCAN CaNiC2Cl, PBEsol geometry; calculated volume = 15.39 A^3/atom; formation energy (no corrections) = 412 meV/atom; electronic total energy = -10.39 eV per atom
1.0
3.6537 0.0000 0.0000
0.0000 3.6537 0.0000
0.0000 0.0000 5.7654
Ca Ni C Cl
1 1 2 1
Direct
0.0000 0.0000 0.0000
0.0000 0.0000 0.5000
0.0000 0.5000 0.5000
0.5000 0.0000 0.5000
0.5000 0.5000 0.0000


meta-GGA SCAN Li4MnCr3O8, PBEsol geometry; calculated volume = 8.74 A^3/atom; formation energy (no corrections) = -2443 meV/atom; electronic total energy = -10.74 eV per atom
1.0
5.0775 -2.8859 0.0000
5.0775 2.8859 0.0000
-3.2392 0.0000 4.7743
Li Mn Cr O
4 1 3 8
Direct
0.0000 0.0000 0.0000
0.0000 0.5000 0.5000
0.5000 0.0000 0.5000
0.5000 0.5000 0.0000
0.0000 0.0000 0.5000
0.0000 0.5000 0.0000
0.5000 0.0000 0.0000
0.5000 0.5000 0.5000
0.2303 0.7436 0.2564
0.2564 0.7697 0.7436
0.2600 0.2600 0.7755
0.2627 0.2627 0.2487
0.7373 0.7373 0.7513
0.7400 0.7400 0.2245
0.7436 0.2303 0.2564
0.7697 0.2564 0.7436


meta-GGA SCAN RbSc2InMo, PBEsol geometry; calculated volume = 22.45 A^3/atom; formation enthalpy at 0 K = 1.8596 eV per atom; electronic total energy = -21.64 eV per atom
1.0
4.8839 0.0000 0.0000
0.0000 4.8839 0.0000
0.0000 0.0000 4.7057
Rb Sc In Mo
1 2 1 1
Direct
0.0000 0.0000 0.0000
0.0000 0.5000 0.0000
0.5000 0.0000 0.0000
0.5000 0.5000 0.5000
0.0000 0.0000 0.5000


meta-GGA SCAN MnNb2PtO, PBEsol geometry; calculated volume = 22.09 A^3/atom; formation energy (no corrections) = 1010 meV/atom; electronic total energy = -31.18 eV per atom
1.0
4.8536 0.0000 0.0000
0.0000 4.8536 0.0000
0.0000 0.0000 4.6889
Mn Nb Pt O
1 2 1 1
Direct
0.0000 0.0000 0.0000
0.0000 0.5000 0.5000
0.5000 0.0000 0.5000
0.0000 0.0000 0.5000
0.5000 0.5000 0.0000


meta-GGA SCAN KRb2NaSc, PBEsol geometry; calculated volume = 73.73 A^3/atom; formation enthalpy at 0 K = 0.7267 eV per atom; electronic total energy = -12.93 eV per atom
1.0
7.2006 0.0000 0.0000
0.0000 7.2006 0.0000
0.0000 0.0000 7.1105
K Rb Na Sc
1 2 1 1
Direct
0.0000 0.0000 0.0000
0.0000 0.5000 0.5000
0.5000 0.0000 0.5000
0.5000 0.5000 0.0000
0.0000 0.0000 0.5000


meta-GGA SCAN YMgOs2, PBEsol geometry; calculated volume = 16.78 A^3/atom; formation enthalpy at 0 K = 0.2753 eV per atom; electronic total energy = -43.87 eV per atom
1.0
2.8968 -4.4914 0.0000
2.8968 4.4914 0.0000
-1.1371 0.0000 2.5800
Y Mg Os
1 1 2
Direct
0.0000 0.0000 0.0000
0.5000 0.5000 0.0000
0.0000 0.5000 0.5000
0.5000 0.0000 0.5000


Among the records above, which one has the highest calculated volume?
KRb2NaSc


What is the calculated volume in the sixth record?
11.47 A^3/atom


Repeat the first record exactly.
meta-GGA SCAN V2OF5, PBEsol geometry; energy above the most stable polymorph in this dataset = 0.000 eV per atom; calculated volume = 12.78 A^3/atom; formation energy (no corrections) = -3102 meV/atom; electronic total energy = -10.47 eV per atom
1.0
5.1960 0.0000 0.0000
-2.5980 4.4998 0.0000
0.0000 0.0000 13.1168
V O F
6 3 15
Direct
0.0155 0.6931 0.4117
0.3069 0.3224 0.7451
0.3224 0.3069 0.2549
0.6776 0.9845 0.0784
0.6931 0.0155 0.5883
0.9845 0.6776 0.9216
0.0000 0.1193 0.6667
0.1193 0.0000 0.3333
0.8807 0.8807 0.0000
0.0000 0.2450 0.1667
0.0896 0.4249 0.8373
0.2450 0.0000 0.8333
0.2501 0.5739 0.3339
0.3238 0.7499 0.0006
0.3354 0.9104 0.5039
0.4249 0.0896 0.1627
0.4261 0.6762 0.6673
0.5739 0.2501 0.6661
0.5751 0.6646 0.1706
0.6646 0.5751 0.8294
0.6762 0.4261 0.3327
0.7499 0.3238 0.9994
0.7550 0.7550 0.5000
0.9104 0.3354 0.4961


What is the formula in the twelfth record?
YMgOs2